No. 1
An optimized crystal structure of BPNF2, computed with PBE.

Calculated values
Formation energy without anion corrections: -260 meV per atom
Energy above the most stable polymorph in this dataset: 0.00 kJ per mole of atoms

Cell and atoms, written as POSCAR:
```
BPNF2
1.0
-1.922 -2.607 -3.084
-1.928 -2.409 3.238
-2.102 1.611 -0.052
P B N F
1 1 1 2
direct
0.500 0.500 0.500 P
0.000 0.000 0.000 B
0.000 0.000 0.500 N
0.000 0.500 0.000 F
0.500 0.000 0.000 F
```

No. 2
An optimized crystal structure of BPbNF2, computed with PBE.

Calculated values
Formation energy without anion corrections: 555 meV per atom
Energy above the most stable polymorph in this dataset: 156.67 kJ per mole of atoms

Cell and atoms, written as POSCAR:
```
BPbNF2
1.0
4.479 0.000 0.000
0.000 4.479 0.000
0.000 0.000 4.344
Pb B N F
1 1 1 2
direct
0.000 0.000 0.000 Pb
0.500 0.500 0.500 B
0.000 0.000 0.500 N
0.000 0.500 0.000 F
0.500 0.000 0.000 F
```

No. 3
An optimized crystal structure of BPb2NF, computed with PBE.

Calculated values
Formation energy without anion corrections: -179 meV per atom

Cell and atoms, written as POSCAR:
```
BPb2NF
1.0
5.653 0.000 0.000
0.000 2.876 0.000
0.000 0.000 5.653
Pb B N F
2 1 1 1
direct
0.000 0.000 0.500 Pb
0.500 0.000 0.000 Pb
0.000 0.000 0.000 B
0.000 0.500 0.000 N
0.500 0.500 0.500 F
```

No. 4
An optimized crystal structure of BPbN2F, computed with PBE.

Calculated values
Formation energy without anion corrections: 1836 meV per atom
Energy above the most stable polymorph in this dataset: 151.00 kJ per mole of atoms

Cell and atoms, written as POSCAR:
```
BPbN2F
1.0
-0.018 -2.558 -3.582
0.886 -3.511 2.503
-4.369 -0.720 0.536
Pb B N F
1 1 2 1
direct
0.000 0.000 0.000 Pb
0.500 0.500 0.500 B
0.000 0.500 0.000 N
0.500 0.000 0.000 N
0.000 0.000 0.500 F
```

No. 5
An optimized crystal structure of BPbN2F, computed with PBE.

Calculated values
Formation energy without anion corrections: 271 meV per atom
Energy above the most stable polymorph in this dataset: 0.00 kJ per mole of atoms

Cell and atoms, written as POSCAR:
```
BPbN2F
1.0
-1.787 -2.592 -1.134
2.783 -1.369 -1.256
0.761 -2.415 4.321
Pb B N F
1 1 2 1
direct
0.500 0.500 0.500 Pb
0.000 0.000 0.000 B
0.000 0.500 0.000 N
0.500 0.000 0.000 N
0.000 0.000 0.500 F
```

No. 6
An optimized crystal structure of BPbNF2, computed with PBE.

Calculated values
Formation energy without anion corrections: -1069 meV per atom
Energy above the most stable polymorph in this dataset: 0.00 kJ per mole of atoms

Cell and atoms, written as POSCAR:
```
BPbNF2
1.0
4.642 0.000 0.000
0.000 4.642 0.000
0.000 0.000 2.785
Pb B N F
1 1 1 2
direct
0.500 0.500 0.500 Pb
0.000 0.000 0.000 B
0.000 0.000 0.500 N
0.000 0.500 0.000 F
0.500 0.000 0.000 F
```

No. 7
An optimized crystal structure of BPdN2F, computed with PBE.

Calculated values
Formation energy without anion corrections: 746 meV per atom
Energy above the most stable polymorph in this dataset: 0.00 kJ per mole of atoms

Cell and atoms, written as POSCAR:
```
BPdN2F
1.0
-3.118 0.187 -1.623
1.320 -1.773 -2.740
-0.915 -2.886 1.427
B N Pd F
1 2 1 1
direct
0.000 0.000 0.000 B
0.000 0.500 0.000 N
0.500 0.000 0.000 N
0.500 0.500 0.500 Pd
0.000 0.000 0.500 F
```

No. 8
An optimized crystal structure of BPdN2F, computed with PBE.

Calculated values
Formation energy without anion corrections: 1848 meV per atom
Energy above the most stable polymorph in this dataset: 106.28 kJ per mole of atoms

Cell and atoms, written as POSCAR:
```
BPdN2F
1.0
-2.571 -0.321 3.008
-1.015 -3.627 -1.255
3.113 -1.729 2.477
B N Pd F
1 2 1 1
direct
0.500 0.500 0.500 B
0.000 0.500 0.000 N
0.500 0.000 0.000 N
0.000 0.000 0.000 Pd
0.000 0.000 0.500 F
```

| no. | spin magnetization (μB per cell) |
| --- | --- |
| 1 | 0.28 |
| 2 | 0.47 |
| 3 | 0.00 |
| 4 | 2.17 |
| 5 | 0.00 |
| 6 | 0.00 |
| 7 | 0.00 |
| 8 | 3.23 |